First-principles (PBE) data for a geometry-optimized RbPd4Pb structure, as listed in Alexandria via LeMat-Bulk.

Output
Space-group type: F-43m
Energy of formation: -0.02 eV/atom
Energy: -25.5 eV per cell
Magnetization: 0.00 μB per formula unit
DOS at the Fermi energy: 5.3 states/eV/f.u.

abc: 5.5743 5.5743 5.5743
angles: 60.00 60.00 60.00
Last column: nearest neighbours and their distance in Å.
Positions (direct):
Pb: 0.0000 0.0000 0.0000  12 Pd 3.27, 4 Rb 3.41
Rb: 0.2500 0.2500 0.2500  12 Pd 3.27, 4 Pb 3.41
Pd: 0.6258 0.6258 0.1226  6 Pd 2.77-2.81
Pd: 0.6258 0.1226 0.6258  6 Pd 2.77-2.81
Pd: 0.6258 0.6258 0.6258  6 Pd 2.77-2.81
Pd: 0.1226 0.6258 0.6258  6 Pd 2.77-2.81

=====

First-principles (PBE) data for a geometry-optimized ErThMgOs structure, as listed in Alexandria via LeMat-Bulk.

Output
Space-group type: F-43m
Energy of formation: -0.10 eV/atom
Energy: -25.2 eV per cell
Magnetization: 0.00 μB per formula unit
DOS at the Fermi energy: 3.7 states/eV/f.u.

abc: 5.0838 5.0838 5.0838
angles: 60.00 60.00 60.00
Last column: nearest neighbours and their distance in Å.
Positions (direct):
Mg: 0.7500 0.7500 0.7500  4 Er 3.11, 4 Th 3.11
Os: 0.2500 0.2500 0.2500  4 Th 3.11, 4 Er 3.11
Th: 0.5000 0.5000 0.5000  4 Mg 3.11, 4 Os 3.11
Er: 0.0000 0.0000 0.0000  4 Os 3.11, 4 Mg 3.11